Record 1
! TaSiAu, PBEsol geometry, DFT meta-GGA SCAN; values from VASP
! * crystal system: trigonal
! * E: -48.5600 eV per atom
! * ρ: 13.99 g/cm³
! * uncorrected formation energy: 25 meV per atom
&SYSTEM
  ibrav = 0, nat = 3, ntyp = 3
/
ATOMIC_SPECIES
Si 28.09 Si.upf
Ta 180.95 Ta.upf
Au 196.97 Au.upf
ATOMIC_POSITIONS crystal
Si 0.333 0.667 0.665
Ta 0.667 0.333 0.344
Au 0.000 0.000 0.991
CELL_PARAMETERS angstrom
2.888 0.000 0.000
-1.444 2.501 0.000
0.000 0.000 6.671

Record 2
! TaSi2Au, PBEsol geometry, DFT meta-GGA SCAN; values from VASP
! * crystal system: tetragonal
! * E: -38.6275 eV per atom
! * ρ: 10.76 g/cm³
! * uncorrected formation energy: 316 meV per atom
&SYSTEM
  ibrav = 0, nat = 8, ntyp = 3
/
ATOMIC_SPECIES
Ta 180.95 Ta.upf
Si 28.09 Si.upf
Au 196.97 Au.upf
ATOMIC_POSITIONS crystal
Ta 0.750 0.250 0.500
Ta 0.500 0.500 0.000
Si 0.356 0.375 0.481
Si 0.894 0.875 0.519
Si 0.125 0.644 0.019
Si 0.625 0.106 0.981
Au 0.250 0.750 0.500
Au 0.000 0.000 0.000
CELL_PARAMETERS angstrom
-0.617 -1.238 -5.441
3.696 -2.998 2.980
-4.996 -1.040 2.341

Record 3
! TaSi2Au, PBEsol geometry, DFT meta-GGA SCAN; values from VASP
! * crystal system: cubic
! * E: -38.6761 eV per atom
! * ρ: 11.78 g/cm³
! * uncorrected formation energy: 267 meV per atom
&SYSTEM
  ibrav = 0, nat = 4, ntyp = 3
/
ATOMIC_SPECIES
Si 28.09 Si.upf
Ta 180.95 Ta.upf
Au 196.97 Au.upf
ATOMIC_POSITIONS crystal
Si 0.750 0.750 0.750
Si 0.250 0.250 0.250
Ta 0.500 0.500 0.500
Au 0.000 0.000 0.000
CELL_PARAMETERS angstrom
-0.458 3.523 2.635
-3.925 0.898 1.829
-0.592 -0.552 4.348

Record 4
! Ta2SiAu, PBEsol geometry, DFT meta-GGA SCAN; values from VASP
! * crystal system: orthorhombic
! * E: -53.2902 eV per atom
! * ρ: 15.20 g/cm³
! * uncorrected formation energy: -205 meV per atom
&SYSTEM
  ibrav = 0, nat = 4, ntyp = 3
/
ATOMIC_SPECIES
Si 28.09 Si.upf
Ta 180.95 Ta.upf
Au 196.97 Au.upf
ATOMIC_POSITIONS crystal
Si 0.500 0.500 0.500
Ta 0.000 0.000 0.258
Ta 0.000 0.000 0.742
Au 0.500 0.500 0.000
CELL_PARAMETERS angstrom
2.813 0.000 0.000
0.000 4.144 0.000
0.000 0.000 5.500

Record 5
! TaSi2Au, PBEsol geometry, DFT meta-GGA SCAN; values from VASP
! * crystal system: monoclinic
! * E: -39.0372 eV per atom
! * ρ: 11.80 g/cm³
! * uncorrected formation energy: -94 meV per atom
&SYSTEM
  ibrav = 0, nat = 4, ntyp = 3
/
ATOMIC_SPECIES
Si 28.09 Si.upf
Ta 180.95 Ta.upf
Au 196.97 Au.upf
ATOMIC_POSITIONS crystal
Si 0.745 0.313 0.490
Si 0.013 0.951 0.026
Ta 0.485 0.426 0.970
Au 0.257 0.810 0.513
CELL_PARAMETERS angstrom
-1.016 2.822 -0.575
-3.508 -1.690 -2.095
-0.719 -0.929 4.821

Record 6
! TaSiAu3, PBEsol geometry, DFT meta-GGA SCAN; values from VASP
! * crystal system: cubic
! * E: -55.5703 eV per atom
! * ρ: 10.61 g/cm³
! * uncorrected formation energy: 1244 meV per atom
&SYSTEM
  ibrav = 0, nat = 5, ntyp = 3
/
ATOMIC_SPECIES
Si 28.09 Si.upf
Au 196.97 Au.upf
Ta 180.95 Ta.upf
ATOMIC_POSITIONS crystal
Si 0.500 0.500 0.500
Au 0.000 0.500 0.000
Au 0.000 0.000 0.500
Au 0.500 0.000 0.000
Ta 0.000 0.000 0.000
CELL_PARAMETERS angstrom
5.002 0.000 0.000
0.000 5.002 0.000
0.000 0.000 5.002

Record 7
! TaSiAu, PBEsol geometry, DFT meta-GGA SCAN; values from VASP
! * crystal system: tetragonal
! * E: -48.5543 eV per atom
! * ρ: 14.09 g/cm³
! * uncorrected formation energy: 31 meV per atom
&SYSTEM
  ibrav = 0, nat = 3, ntyp = 3
/
ATOMIC_SPECIES
Au 196.97 Au.upf
Si 28.09 Si.upf
Ta 180.95 Ta.upf
ATOMIC_POSITIONS crystal
Au 0.003 0.003 0.005
Si 0.670 0.670 0.339
Ta 0.328 0.328 0.656
CELL_PARAMETERS angstrom
2.850 0.000 0.000
0.000 2.850 0.000
-1.425 -1.425 5.887

Record 8
! TaSi2Au, PBEsol geometry, DFT meta-GGA SCAN; values from VASP
! * crystal system: orthorhombic
! * E: -39.0474 eV per atom
! * ρ: 11.69 g/cm³
! * uncorrected formation energy: -104 meV per atom
&SYSTEM
  ibrav = 0, nat = 4, ntyp = 3
/
ATOMIC_SPECIES
Si 28.09 Si.upf
Au 196.97 Au.upf
Ta 180.95 Ta.upf
ATOMIC_POSITIONS crystal
Si 0.000 0.000 0.723
Si 0.000 0.000 0.277
Au 0.000 0.500 0.000
Ta 0.500 0.500 0.500
CELL_PARAMETERS angstrom
2.841 0.000 0.000
0.000 3.991 0.000
0.000 0.000 5.435